The following is a GGA-PBE calculation of a relaxed structure of Er2Cd2Pd3, from the Alexandria database.

Cell: 4.801 4.811 7.820 Å, 90.59 107.40 119.54°
Space group P-1 (No. 2)
Inequivalent atoms, fractional coordinates:
Er  0.227  0.111  0.340 (multiplicity 2)
Cd  0.259  0.634  0.893 (multiplicity 2)
Pd  0.000  0.500  0.500 (multiplicity 1)
Pd  0.484  0.249  0.729 (multiplicity 2)

Output
Calculated formation energy: -0.699 eV per atom
Magnetic moment: 0.000 μB per formula unit
DOS(E_F): 3.57 states/eV/cell